{"formula": "La2EuHf", "functional": "GGA-PBE", "state": "relaxed", "cell": [[-0.8136, -0.6727, -3.4189], [0.7970, -3.4537, 0.4899], [-9.8234, -1.8828, 2.7083]], "species": ["Eu", "Hf", "La", "La"], "frac_coords": [[0.5000, 0.5000, 0.5000], [0.5000, 0.5000, 0.0000], [0.0000, 0.0000, 0.7826], [0.0000, 0.0000, 0.2174]], "ef_ev_per_atom": 0.156, "crystal_system": "tetragonal", "dos_ef_per_ev_cell": 5.9, "polymorph_energy_ev_per_fu": 0.000, "volume_a3_per_atom": 33.168}

{"formula": "La2EuHf", "functional": "GGA-PBE", "state": "relaxed", "cell": [[-2.0554, -0.7953, 2.5889], [0.9579, -2.3383, 2.2747], [5.0557, 8.0951, 8.7333]], "species": ["Eu", "Hf", "La", "La"], "frac_coords": [[0.5000, 0.5000, 0.5000], [0.0000, 0.0000, 0.0000], [0.0797, 0.0797, 0.7609], [0.9203, 0.9203, 0.2391]], "ef_ev_per_atom": 0.420, "crystal_system": "trigonal", "dos_ef_per_ev_cell": 5.2, "polymorph_energy_ev_per_fu": 1.058, "volume_a3_per_atom": 32.001}

{"formula": "Li2EuHf", "functional": "GGA-PBE", "state": "relaxed", "cell": [[3.1338, 0.0000, 0.0000], [1.5669, 2.7139, 0.0000], [1.5669, 0.9046, 12.0097]], "species": ["Eu", "Hf", "Li", "Li"], "frac_coords": [[0.5000, 0.5000, 0.5000], [0.0000, 0.0000, 0.0000], [0.0811, 0.0811, 0.7567], [0.9189, 0.9189, 0.2433]], "ef_ev_per_atom": 0.477, "crystal_system": "trigonal", "dos_ef_per_ev_cell": 3.9, "volume_a3_per_atom": 25.535}

{"formula": "Eu2HfMg", "functional": "GGA-PBE", "state": "relaxed", "cell": [[-2.5433, 2.0559, 0.3927], [-2.7307, -0.3959, -1.7989], [-6.4035, -6.8514, 8.2123]], "species": ["Eu", "Eu", "Mg", "Hf"], "frac_coords": [[0.0858, 0.0858, 0.7426], [0.9142, 0.9142, 0.2574], [0.5000, 0.5000, 0.5000], [0.0000, 0.0000, 0.0000]], "ef_ev_per_atom": 0.437, "crystal_system": "trigonal", "dos_ef_per_ev_cell": 4.3, "volume_a3_per_atom": 28.939}